Dy7Ga2Bi2 | PBE | relaxed

Summary:
The value obtained for the energy of formation from the pure elements is -0.20 eV/atom. The magnetic moment is 0.000 μB/cell. The value obtained for the theoretical density is 8.57 g/cm³.

POSCAR file:
```
Dy7Ga2Bi2
1.0
-0.355 2.739 -5.990
4.044 -6.219 -3.082
-5.223 -3.899 1.011
Dy Bi Ga
7 2 2
Cartesian
-0.139 -3.560 -7.640
0.000 0.000 0.000
-1.615 -2.385 -3.384
0.081 -4.994 -4.677
2.650 -2.980 -5.150
-4.185 -4.399 -2.911
-1.396 -3.819 -0.422
0.300 -8.100 -4.199
-1.835 0.721 -3.862
-2.618 -4.074 -5.683
1.084 -3.304 -2.379
```

=====

Tb2Y4Er | PBE | relaxed

Summary:
The value obtained for the energy of formation from the pure elements is 0.04 eV/atom. The magnetic moment is 0.000 μB/cell. The value obtained for the theoretical density is 6.19 g/cm³.

POSCAR file:
```
Tb2Y4Er
1.0
3.529 -0.261 0.319
-2.639 8.287 -3.613
0.939 -1.170 8.436
Tb Er Y
2 1 4
Cartesian
0.269 3.310 -0.260
1.561 3.546 5.401
0.000 0.000 0.000
-1.254 6.556 -0.580
1.690 1.799 2.565
0.139 5.057 2.576
3.084 0.301 5.721
```

=====

LiAcHo | PBE | relaxed

Summary:
The value obtained for the energy of formation from the pure elements is 0.09 eV/atom. The magnetic moment is 0.000 μB/cell. The value obtained for the theoretical density is 6.97 g/cm³.

POSCAR file:
```
LiAcHo
1.0
3.901 0.000 0.000
0.000 3.901 0.000
-1.950 -1.950 6.243
Ac Ho Li
1 1 1
Cartesian
0.000 0.000 4.034
0.000 0.000 0.283
1.950 1.950 1.926
```

=====

Th2ScPa2Co5 | PBE | relaxed

Summary:
The value obtained for the energy of formation from the pure elements is -0.08 eV/atom. The magnetic moment is 0.000 μB/cell. The value obtained for the theoretical density is 11.21 g/cm³.

POSCAR file:
```
Th2ScPa2Co5
1.0
-0.358 -3.295 -0.494
10.328 -0.801 -2.143
1.989 -1.751 10.241
Sc Co Pa Th
2 10 4 4
Cartesian
0.000 0.000 0.000
6.159 -1.276 4.049
10.090 -3.930 7.537
4.895 -2.544 2.057
0.816 -2.523 4.874
7.064 -3.303 5.548
7.752 -2.950 2.695
2.159 -3.130 7.951
9.800 -2.717 -0.347
4.985 -2.048 -1.318
4.207 -2.897 4.909
1.869 -1.917 0.067
2.733 -1.236 6.263
3.987 -0.535 0.676
9.584 -1.316 1.835
8.330 -2.018 7.422
9.934 -1.835 5.040
7.216 -0.826 0.277
5.102 -1.727 7.821
2.384 -0.717 3.058
```

=====

Ac3GaAu3 | PBE | relaxed

Summary:
The value obtained for the energy of formation from the pure elements is -0.75 eV/atom. The magnetic moment is 0.000 μB/cell. The value obtained for the theoretical density is 10.88 g/cm³.

POSCAR file:
```
Ac3GaAu3
1.0
4.595 0.000 -1.002
-0.207 4.084 -0.949
-0.043 0.357 10.835
Au Ac Ga
3 3 1
Cartesian
2.452 2.330 0.209
0.539 2.759 2.471
3.850 1.732 6.616
3.073 0.865 3.053
1.253 3.556 5.745
0.001 0.001 0.003
1.866 2.081 8.553
```

=====

SrAl3PSO14 | PBE | relaxed

Summary:
The uncorrected formation energy is -1.821 eV per atom. The magnetic moment is 6.067 μB/cell. The value obtained for the theoretical density is 3.08 g/cm³.

POSCAR file:
```
SrAl3PSO14
1.0
6.168 -3.487 -0.014
6.168 3.487 -0.014
4.208 0.000 5.700
O S P Al Sr
14 1 1 3 1
Cartesian
11.749 -1.260 4.797
6.941 0.000 5.191
9.628 0.000 0.491
10.012 0.000 3.433
11.749 1.260 4.797
8.235 -2.303 1.418
4.109 0.000 2.895
12.457 0.000 2.734
4.793 1.217 0.900
8.335 2.302 4.263
4.793 -1.217 0.900
8.235 2.303 1.418
8.335 -2.302 4.263
6.450 0.000 2.212
5.093 0.000 1.746
11.462 0.000 3.930
13.450 1.737 5.672
13.450 -1.737 5.672
14.426 0.000 2.826
0.006 0.000 0.002
```

=====

CeYS | PBE | relaxed

Summary:
The uncorrected formation energy is -1.184 eV per atom. The magnetic moment is 1.048 μB/cell. The value obtained for the theoretical density is 5.28 g/cm³.

POSCAR file:
```
CeYS
1.0
-3.514 -4.787 2.668
1.906 0.428 3.280
-3.194 1.995 -0.626
Ce S Y
1 1 1
Cartesian
-2.386 -2.580 3.945
-0.026 -0.036 0.020
-2.390 0.252 1.356
```

=====

LaPm2Sb | PBE | relaxed

Summary:
The uncorrected formation energy is -0.588 eV per atom. The magnetic moment is 1.153 μB/cell. The value obtained for the theoretical density is 6.92 g/cm³.

POSCAR file:
```
LaPm2Sb
1.0
-6.099 -2.077 1.264
6.143 -2.107 -0.939
1.790 0.790 9.940
Pm La Sb
4 2 2
Cartesian
2.191 -0.690 4.416
0.398 -2.372 10.035
1.437 -1.022 0.229
-0.356 -2.705 5.848
3.732 -2.550 7.274
-1.897 -0.844 2.990
1.163 -0.449 7.570
0.672 -2.945 2.694
```

=====

VFeCo2H | PBE | relaxed

Summary:
The magnetic moment is 0.000 μB/cell. The value obtained for the theoretical density is 8.21 g/cm³. The value obtained for the final energy is -35.49 eV for the cell shown.

POSCAR file:
```
VFeCo2H
1.0
-2.475 -1.933 1.525
2.459 -1.831 1.670
-0.134 2.421 2.851
Fe H Co V
1 1 2 1
Cartesian
-0.075 -0.672 3.023
0.000 0.000 0.000
1.230 -0.915 0.835
-1.238 -0.967 0.763
-0.067 1.210 1.426
```

=====

Au2Se3 | PBE | relaxed

Summary:
The uncorrected formation energy is 0.010 eV per atom. The magnetic moment is 0.000 μB/cell. The value obtained for the theoretical density is 8.54 g/cm³.

POSCAR file:
```
Au2Se3
1.0
6.889 -5.696 3.450
2.816 -1.996 7.137
0.329 -6.552 -0.918
Au Se
4 6
Cartesian
6.371 -8.288 4.506
8.013 -11.744 5.860
7.705 -9.115 8.151
4.330 -5.448 4.671
6.354 -7.389 6.901
2.215 -3.785 2.634
5.763 -10.573 5.516
3.308 -7.138 3.042
6.596 -5.919 3.667
8.916 -11.075 9.263
```

=====

In3Mo15Se19 | PBE | relaxed

Summary:
The uncorrected formation energy is -0.506 eV per atom. The magnetic moment is 0.000 μB/cell. The value obtained for the theoretical density is 6.47 g/cm³.

POSCAR file:
```
In3Mo15Se19
1.0
9.918 0.002 0.000
-4.916 8.633 0.000
0.000 0.000 19.694
Mo Se In
30 38 6
Cartesian
6.507 2.959 4.923
-0.821 7.035 17.057
9.014 1.289 1.101
-0.605 4.398 17.039
3.423 2.710 7.180
5.822 1.600 7.210
4.326 7.234 1.120
-4.013 7.346 10.948
-0.821 7.035 12.484
3.454 8.529 10.953
9.014 1.289 8.746
1.548 0.106 8.741
0.939 4.411 14.770
5.607 4.237 7.192
0.795 7.175 14.770
1.548 0.106 1.106
-4.013 7.346 18.593
-1.506 5.676 14.770
3.423 2.710 2.667
0.675 1.401 18.574
4.207 1.460 4.923
1.578 5.925 12.514
5.607 4.237 2.654
1.578 5.925 17.027
4.326 7.234 8.727
3.454 8.529 18.588
5.822 1.600 2.637
-0.605 4.398 12.501
4.062 4.224 4.923
0.675 1.401 10.967
-1.566 8.267 14.770
7.979 3.144 7.051
4.991 8.536 16.542
1.992 8.340 8.826
0.052 5.788 19.073
8.208 2.504 10.885
3.055 5.922 14.770
3.736 5.905 18.691
-3.207 6.131 8.809
1.992 8.340 1.021
8.208 2.504 18.656
6.332 5.547 4.923
-1.331 3.088 14.770
0.011 0.099 6.695
4.991 8.536 12.999
1.838 3.344 17.048
3.009 0.295 18.673
-3.207 6.131 1.038
0.052 5.788 10.468
6.568 0.368 4.923
-2.978 5.491 16.898
4.949 2.847 0.621
0.011 0.099 3.152
1.315 8.553 16.902
7.979 3.144 2.796
3.164 5.291 2.646
4.949 2.847 9.226
1.266 2.730 1.003
3.009 0.295 10.868
1.315 8.553 12.639
3.687 0.082 7.055
1.947 2.713 4.923
1.838 3.344 12.493
-2.978 5.491 12.643
3.687 0.082 2.792
3.736 5.905 10.850
3.164 5.291 7.201
1.266 2.730 8.844
-0.215 5.726 7.452
5.216 2.909 17.299
3.680 7.082 4.923
-0.215 5.726 2.394
1.322 1.553 14.770
5.216 2.909 12.241
```

=====

SmThGeAu | PBE | relaxed

Summary:
The value obtained for the energy of formation from the pure elements is -0.61 eV/atom. The magnetic moment is 0.001 μB/cell. The value obtained for the theoretical density is 10.78 g/cm³.

POSCAR file:
```
SmThGeAu
1.0
-3.606 2.848 2.471
-0.456 -0.301 5.189
1.451 4.026 2.984
Au Th Ge Sm
1 1 1 1
Cartesian
0.000 0.000 0.000
-0.653 1.643 2.661
-1.305 3.287 5.322
-1.958 4.930 7.983
```